Entry 1:
Crystalline Mn2NbCo6 at its relaxed geometry, computed with PBE.

a = 6.6694 Å, b = 6.6694 Å, c = 6.2921 Å
α = 42.03°, β = 42.03°, γ = 42.42°
Closest atoms and distances in Å follow each position.
Fractional positions:
Co1 0.1637 0.6372 0.3015  6 Co 2.29-2.54, 1 Mn 2.46
Co2 0.3628 0.8363 0.6985  6 Co 2.29-2.54, 1 Mn 2.46
Co3 0.1635 0.1635 0.9340  4 Co 2.37-2.51, 3 Mn 2.49-2.50, 1 Nb 2.60
Co4 0.8363 0.3628 0.6985  6 Co 2.29-2.54, 1 Mn 2.46
Co5 0.8365 0.8365 0.0660  4 Co 2.37-2.51, 3 Mn 2.49-2.50, 1 Nb 2.60
Co6 0.6372 0.1637 0.3015  6 Co 2.29-2.54, 1 Mn 2.46
Mn1 0.2515 0.2515 0.1773  5 Co 2.46-2.50, 1 Nb 2.59
Mn2 0.7485 0.7485 0.8227  5 Co 2.46-2.50, 1 Nb 2.59
Nb1 0.5000 0.5000 0.5000  2 Mn 2.59, 6 Co 2.60-2.62

For the formation energy, the calculation gives 222 meV per atom. For the density of states at the Fermi level, the calculation gives 10.75 states/eV per cell.

---

Entry 2:
Crystalline Mn2NbCo3 at its relaxed geometry, computed with PBE.

a = 4.1878 Å, b = 6.6113 Å, c = 5.8664 Å
α = 90.00°, β = 90.00°, γ = 71.54°
Closest atoms and distances in Å follow each position.
Fractional positions:
Co1 0.8339 0.3323 0.2557  5 Mn 2.52-2.57, 3 Nb 2.58-2.64
Co2 0.1661 0.6677 0.2557  5 Mn 2.52-2.57, 3 Nb 2.58-2.64
Co3 0.5000 0.0000 0.2604  6 Mn 2.52-2.59, 2 Nb 2.53, 1 Co 2.81
Co4 0.1661 0.6677 0.7443  5 Mn 2.52-2.57, 3 Nb 2.58-2.64
Co5 0.8339 0.3323 0.7443  5 Mn 2.52-2.57, 3 Nb 2.58-2.64
Co6 0.5000 0.0000 0.7396  6 Mn 2.52-2.59, 2 Nb 2.53, 1 Co 2.81
Mn1 0.6684 0.6631 0.5000  8 Co 2.52-2.54
Mn2 0.0000 0.0000 0.5000  8 Co 2.52-2.53
Mn3 0.0000 0.0000 0.0000  8 Co 2.57-2.59
Mn4 0.3316 0.3369 0.5000  8 Co 2.52-2.54
Nb1 0.6606 0.6788 0.0000  8 Co 2.53-2.64
Nb2 0.3394 0.3212 0.0000  8 Co 2.53-2.64

For the formation energy, the calculation gives -58 meV per atom. For the density of states at the Fermi level, the calculation gives 5.16 states/eV per cell.

---

Entry 3:
Crystalline Mn2NbCo at its relaxed geometry, computed with PBE.

a = 3.0469 Å, b = 3.0469 Å, c = 5.7709 Å
α = 90.00°, β = 90.00°, γ = 90.00°
Closest atoms and distances in Å follow each position.
Fractional positions:
Mn1 0.0000 0.0000 0.2337  4 Co 2.54, 4 Nb 2.65, 1 Mn 2.70
Mn2 0.0000 0.0000 0.7663  4 Co 2.54, 4 Nb 2.65, 1 Mn 2.70
Co1 0.5000 0.5000 0.0000  8 Mn 2.54
Nb1 0.5000 0.5000 0.5000  8 Mn 2.65, 2 Co 2.89

For the formation energy, the calculation gives 45 meV per atom. For the energy above the most stable polymorph in this dataset, the calculation gives 0.040 eV per atom. For the density of states at the Fermi level, the calculation gives 2.99 states/eV per cell.

---

Entry 4:
Crystalline Mn2NbCo at its relaxed geometry, computed with PBE.

a = 3.8000 Å, b = 6.1960 Å, c = 8.7872 Å
α = 90.00°, β = 90.00°, γ = 90.00°
Closest atoms and distances in Å follow each position.
Fractional positions:
Co1 0.2500 0.0405 0.3915  5 Mn 2.36-2.52
Co2 0.7500 0.9595 0.6085  5 Mn 2.36-2.52
Co3 0.7500 0.4595 0.8915  5 Mn 2.36-2.52
Co4 0.2500 0.5405 0.1085  5 Mn 2.36-2.52
Mn1 0.7500 0.7809 0.0367  3 Mn 2.18-2.28, 1 Co 2.36
Mn2 0.2500 0.4465 0.3798  3 Mn 2.18-2.28
Mn3 0.2500 0.7191 0.5367  3 Mn 2.18-2.28, 1 Co 2.36
Mn4 0.7500 0.5535 0.6202  3 Mn 2.18-2.28
Mn5 0.2500 0.9465 0.1202  3 Mn 2.18-2.28
Mn6 0.7500 0.0535 0.8798  3 Mn 2.18-2.28
Mn7 0.2500 0.2191 0.9633  3 Mn 2.18-2.28, 1 Co 2.36
Mn8 0.7500 0.2809 0.4633  3 Mn 2.18-2.28, 1 Co 2.36
Nb1 0.7500 0.7566 0.3215  5 Mn 2.51-2.75, 2 Co 2.66
Nb2 0.7500 0.2566 0.1785  5 Mn 2.51-2.75, 2 Co 2.66
Nb3 0.2500 0.2434 0.6785  5 Mn 2.51-2.75, 2 Co 2.66
Nb4 0.2500 0.7434 0.8215  5 Mn 2.51-2.75, 2 Co 2.66

For the formation energy, the calculation gives 50 meV per atom. For the energy above the most stable polymorph in this dataset, the calculation gives 0.045 eV per atom. For the density of states at the Fermi level, the calculation gives 16.02 states/eV per cell.

---

Entry 5:
Crystalline Mn4Nb3Co2 at its relaxed geometry, computed with PBE.

a = 4.2295 Å, b = 4.2294 Å, c = 7.9058 Å
α = 90.01°, β = 90.00°, γ = 120.00°
Closest atoms and distances in Å follow each position.
Fractional positions:
Co1 0.3333 0.6665 0.5616  4 Mn 2.55-2.57, 1 Nb 2.55, 3 Co 2.63
Co2 0.6667 0.3335 0.4384  4 Mn 2.55-2.57, 1 Nb 2.55, 3 Co 2.63
Mn1 0.6667 0.3334 0.1130  1 Co 2.57, 7 Nb 2.60-2.78
Mn2 0.0000 0.9999 0.6554  1 Mn 2.46, 3 Co 2.55, 4 Nb 2.58-2.72
Mn3 0.3333 0.6666 0.8870  1 Co 2.57, 7 Nb 2.60-2.78
Mn4 0.0000 0.0001 0.3446  1 Mn 2.46, 3 Co 2.55, 4 Nb 2.58-2.72
Nb1 0.3334 0.6668 0.2388  1 Co 2.55, 7 Mn 2.58-2.78
Nb2 0.6666 0.3332 0.7612  1 Co 2.55, 7 Mn 2.58-2.78
Nb3 0.0000 0.0000 0.0000  8 Mn 2.60-2.72

For the formation energy, the calculation gives 24 meV per atom. For the density of states at the Fermi level, the calculation gives 7.75 states/eV per cell.

---

Entry 6:
Crystalline Mn3Nb2Co at its relaxed geometry, computed with PBE.

a = 4.7257 Å, b = 4.7257 Å, c = 4.8916 Å
α = 89.95°, β = 118.89°, γ = 120.06°
Closest atoms and distances in Å follow each position.
Fractional positions:
Nb1 0.7559 0.3776 0.1335  3 Co 2.78, 9 Mn 2.79-2.91, 4 Nb 2.93-2.98
Nb2 0.2441 0.6224 0.8665  3 Co 2.78, 9 Mn 2.79-2.91, 4 Nb 2.93-2.98
Mn1 0.5000 0.0000 0.5000  4 Mn 2.36, 2 Co 2.45
Mn2 0.0000 0.0000 0.5000  4 Mn 2.36, 2 Co 2.45
Mn3 0.5000 0.5000 0.5000  4 Mn 2.36, 2 Co 2.45
Co1 0.0000 0.0000 0.0000  6 Mn 2.45

For the formation energy, the calculation gives -170 meV per atom. For the density of states at the Fermi level, the calculation gives 7.47 states/eV per cell.

---

Entry 7:
Crystalline MnNb2Co9 at its relaxed geometry, computed with PBE.

a = 3.6129 Å, b = 3.6129 Å, c = 10.8211 Å
α = 90.00°, β = 90.00°, γ = 90.00°
Closest atoms and distances in Å follow each position.
Fractional positions:
Co1 0.0000 0.5000 0.8448  8 Co 2.47-2.60, 2 Mn 2.47, 2 Nb 2.62
Co2 0.0000 0.5000 0.5000  8 Co 2.55-2.59, 4 Nb 2.57
Co3 0.5000 0.0000 0.5000  8 Co 2.55-2.59, 4 Nb 2.57
Co4 0.5000 0.0000 0.1552  2 Mn 2.47, 8 Co 2.47-2.60, 2 Nb 2.62
Co5 0.5000 0.5000 0.6718  4 Nb 2.55, 8 Co 2.59-2.60
Co6 0.5000 0.5000 0.3282  4 Nb 2.55, 8 Co 2.59-2.60
Co7 0.5000 0.5000 0.0000  8 Co 2.47, 4 Mn 2.55
Co8 0.0000 0.5000 0.1552  8 Co 2.47-2.60, 2 Mn 2.47, 2 Nb 2.62
Co9 0.5000 0.0000 0.8448  2 Mn 2.47, 8 Co 2.47-2.60, 2 Nb 2.62
Nb1 0.0000 0.0000 0.3311  12 Co 2.55-2.62
Nb2 0.0000 0.0000 0.6689  12 Co 2.55-2.62
Mn1 0.0000 0.0000 0.0000  12 Co 2.47-2.55

For the formation energy, the calculation gives -76 meV per atom. For the density of states at the Fermi level, the calculation gives 11.29 states/eV per cell.

---

Entry 8:
Crystalline Mn2Nb2Co at its relaxed geometry, computed with PBE.

a = 6.0374 Å, b = 6.0374 Å, c = 3.8950 Å
α = 90.00°, β = 90.00°, γ = 90.00°
Closest atoms and distances in Å follow each position.
Fractional positions:
Mn1 0.3763 0.8763 0.0000  1 Mn 2.11
Mn2 0.1237 0.3763 0.0000  1 Mn 2.11
Mn3 0.8763 0.6237 0.0000  1 Mn 2.11
Mn4 0.6237 0.1237 0.0000  1 Mn 2.11
Nb1 0.1862 0.6862 0.5000  6 Mn 2.53-2.73
Nb2 0.8138 0.3138 0.5000  6 Mn 2.53-2.73
Nb3 0.6862 0.8138 0.5000  6 Mn 2.53-2.73
Nb4 0.3138 0.1862 0.5000  6 Mn 2.53-2.73
Co1 0.5000 0.5000 0.0000  4 Mn 2.39
Co2 0.0000 0.0000 0.0000  4 Mn 2.39

For the formation energy, the calculation gives 105 meV per atom. For the density of states at the Fermi level, the calculation gives 9.89 states/eV per cell.

---

Entry 9:
Crystalline Mn2NbCo2 at its relaxed geometry, computed with PBE.

a = 6.8955 Å, b = 6.8955 Å, c = 2.5467 Å
α = 90.00°, β = 90.00°, γ = 90.00°
Closest atoms and distances in Å follow each position.
Fractional positions:
Mn1 0.6185 0.1185 0.0000  3 Mn 2.31-2.55, 6 Co 2.39-2.42
Mn2 0.8815 0.6185 0.0000  3 Mn 2.31-2.55, 6 Co 2.39-2.42
Mn3 0.3815 0.8815 0.0000  3 Mn 2.31-2.55, 6 Co 2.39-2.42
Mn4 0.1185 0.3815 0.0000  3 Mn 2.31-2.55, 6 Co 2.39-2.42
Nb1 0.5000 0.5000 0.0000  2 Nb 2.55, 4 Mn 2.75, 8 Co 2.85
Nb2 0.0000 0.0000 0.0000  2 Nb 2.55, 4 Mn 2.75, 8 Co 2.85
Co1 0.3259 0.1741 0.5000  6 Mn 2.39-2.42, 2 Co 2.55
Co2 0.8259 0.3259 0.5000  6 Mn 2.39-2.42, 2 Co 2.55
Co3 0.1741 0.6741 0.5000  6 Mn 2.39-2.42, 2 Co 2.55
Co4 0.6741 0.8259 0.5000  6 Mn 2.39-2.42, 2 Co 2.55

For the formation energy, the calculation gives 88 meV per atom. For the energy above the most stable polymorph in this dataset, the calculation gives 0.000 eV per atom. For the density of states at the Fermi level, the calculation gives 15.07 states/eV per cell.

---

Entry 10:
Crystalline Mn2NbCo at its relaxed geometry, computed with PBE.

a = 4.2105 Å, b = 4.2105 Å, c = 4.2105 Å
α = 60.00°, β = 60.00°, γ = 60.00°
Closest atoms and distances in Å follow each position.
Fractional positions:
Co1 0.5000 0.5000 0.5000  8 Mn 2.58
Nb1 0.0000 0.0000 0.0000  8 Mn 2.58
Mn1 0.7500 0.7500 0.7500  4 Co 2.58, 4 Nb 2.58
Mn2 0.2500 0.2500 0.2500  4 Nb 2.58, 4 Co 2.58

For the formation energy, the calculation gives 5 meV per atom. For the energy above the most stable polymorph in this dataset, the calculation gives 0.000 eV per atom. For the density of states at the Fermi level, the calculation gives 3.42 states/eV per cell.

---

So what do the calculations give for uncorrected energy? Going down the list: -7.672, -8.346, -8.834, -8.829, -8.987, -9.296, -7.847, -9.012, -8.436, -8.873 eV/atom.